No. 1
Computed, not measured: a relaxed structure of TlTeOs2 at the GGA-PBE level of DFT.

**Magnetization**: 0.000 μB per atom
**Calculated volume**: 427.7 Å³/cell
**Excess energy over the best structure of this formula in the dataset**: 1.0000 eV/atom
**DFT total energy**: -5.46 eV/atom

Cell and atoms, written as CIF:
```
data_TlTeOs2
_cell_length_a 6.2813
_cell_length_b 6.2813
_cell_length_c 10.8392
_cell_angle_alpha 90.00
_cell_angle_beta 90.00
_cell_angle_gamma 90.00
_space_group_name_H-M_alt 'I -4 2 d'
_space_group_IT_number 122
_space_group_name_Hall 'I -4 2bw'
loop_
_atom_site_label
_atom_site_type_symbol
_atom_site_fract_x
_atom_site_fract_y
_atom_site_fract_z
Tl1 Tl 0.0000 0.0000 0.0000
Te1 Te 0.0000 0.0000 0.5000
Os1 Os 0.2261 0.2500 0.6250
```

---

No. 2
Computed, not measured: a relaxed structure of TlTeOs at the GGA-PBE level of DFT.

**Magnetization**: 0.000 μB per atom
**Calculated volume**: 286.7 Å³/cell
**Excess energy over the best structure of this formula in the dataset**: 0.3163 eV/atom
**DFT total energy**: -4.78 eV/atom

Cell and atoms, written as CIF:
```
data_TlTeOs
_cell_length_a 3.2217
_cell_length_b 5.4092
_cell_length_c 16.4491
_cell_angle_alpha 90.00
_cell_angle_beta 90.00
_cell_angle_gamma 90.00
_space_group_name_H-M_alt 'F m m 2'
_space_group_IT_number 42
_space_group_name_Hall 'F 2 -2'
loop_
_atom_site_label
_atom_site_type_symbol
_atom_site_fract_x
_atom_site_fract_y
_atom_site_fract_z
Tl1 Tl 0.0000 0.0000 0.0000
Te1 Te 0.0000 0.0000 0.7242
Os1 Os 0.0000 0.0000 0.3486
```

---

No. 3
Computed, not measured: a relaxed structure of Tl2TeOs at the GGA-PBE level of DFT.

**Magnetization**: 0.000 μB per atom
**Calculated volume**: 296.9 Å³/cell
**Excess energy over the best structure of this formula in the dataset**: 0.3924 eV/atom
**DFT total energy**: -3.99 eV/atom

Cell and atoms, written as CIF:
```
data_Tl2TeOs
_cell_length_a 3.1205
_cell_length_b 3.1205
_cell_length_c 35.2063
_cell_angle_alpha 90.00
_cell_angle_beta 90.00
_cell_angle_gamma 120.00
_space_group_name_H-M_alt 'R -3 m'
_space_group_IT_number 166
_space_group_name_Hall '-R 3 2"'
loop_
_atom_site_label
_atom_site_type_symbol
_atom_site_fract_x
_atom_site_fract_y
_atom_site_fract_z
Tl1 Tl 0.0000 0.0000 0.2345
Te1 Te 0.0000 0.0000 0.0000
Os1 Os 0.0000 0.0000 0.5000
```

---

No. 4
Computed, not measured: a relaxed structure of TlTeOs2 at the GGA-PBE level of DFT.

**Magnetization**: 0.000 μB per atom
**Calculated volume**: 76.5 Å³/cell
**Excess energy over the best structure of this formula in the dataset**: 0.7627 eV/atom
**DFT total energy**: -5.70 eV/atom

Cell and atoms, written as CIF:
```
data_TlTeOs2
_cell_length_a 3.1852
_cell_length_b 4.5235
_cell_length_c 5.3107
_cell_angle_alpha 90.00
_cell_angle_beta 90.00
_cell_angle_gamma 90.00
_space_group_name_H-M_alt 'P m m m'
_space_group_IT_number 47
loop_
_space_group_symop_operation_xyz
'x,y,z'
'-x,-y,-z'
'-x,-y,z'
'x,y,-z'
'x,-y,-z'
'-x,y,z'
'-x,y,-z'
'x,-y,z'
loop_
_atom_site_label
_atom_site_type_symbol
_atom_site_fract_x
_atom_site_fract_y
_atom_site_fract_z
Tl1 Tl 0.0000 0.0000 0.0000
Te1 Te 0.5000 0.0000 0.5000
Os1 Os 0.0000 0.5000 0.5000
Os2 Os 0.5000 0.5000 0.0000
```